Below is crystalline La2MgVF at its relaxed geometry, with properties calculated at the PBE with a Hubbard U level.

Cell and atoms, written as POSCAR:
```
La2MgVF
1.0
-0.671 3.133 -5.105
-4.907 -0.757 0.181
-0.664 5.067 3.196
F Mg La V
1 1 2 1
direct
0.500 0.500 0.500
0.000 0.000 0.000
0.000 0.000 0.500
0.500 0.000 0.000
0.000 0.500 0.000
```

Results
The calculated density is 3.42 g/cm3. The calculation puts the raw total energy at -3.637 eV/atom. The symmetry is P4/mmm (123). Its total moment is 4.05 μB/f.u.